Record 1
A plane-wave DFT calculation with PBE was carried out for RbZn4AsP2 after structural relaxation.

Its crystal system is tetragonal. Its total energy is -23.82 eV/cell.

It has space group P4/mmm (No. 123), with a = 4.1127 Å, b = 4.1127 Å, c = 10.3098 Å, α = 90.00°, β = 90.00° and γ = 90.00°. Symmetry generates all atoms from Rb at (0.0000, 0.0000, 0.0000), Zn at (0.0000, 0.5000, 0.3377), As at (0.0000, 0.0000, 0.5000) and P at (0.5000, 0.5000, 0.2119).

***

Record 2
A plane-wave DFT calculation with PBE was carried out for Zn2Re2AsP3 after structural relaxation.

The value obtained for the magnetization is 0.0 μB/f.u. Its crystal system is monoclinic. Its total energy is -93.51 eV/cell.

It has space group C2 (No. 5), with a = 11.8520 Å, b = 5.5754 Å, c = 5.5113 Å, α = 90.00°, β = 115.53° and γ = 90.00°. Symmetry generates all atoms from Zn at (0.1316, 0.0000, 0.3627), Re at (0.1291, 0.5207, 0.8816), As at (0.0000, 0.2818, 0.5000), P at (0.0000, 0.7441, 0.0000) and P at (0.2481, 0.7787, 0.7700).

***

Record 3
A plane-wave DFT calculation with PBE was carried out for Zr2AsPS2 after structural relaxation.

The value obtained for the magnetization is 0.0 μB/f.u. Its crystal system is orthorhombic. Its total energy is -85.68 eV/cell.

It has space group Imm2 (No. 44), with a = 3.5935 Å, b = 12.4402 Å, c = 5.0383 Å, α = 90.00°, β = 90.00° and γ = 90.00°. Symmetry generates all atoms from Zr at (0.0000, 0.1362, 0.0000), As at (0.0000, 0.5000, 0.7826), P at (0.0000, 0.5000, 0.2508) and S at (0.0000, 0.2106, 0.4986).

***

Record 4
A plane-wave DFT calculation with PBE was carried out for Zr4SbAs2P after structural relaxation.

The value obtained for the magnetization is 0.0 μB/f.u. Its crystal system is hexagonal. Its total energy is -61.67 eV/cell.

It has space group P-6m2 (No. 187), with a = 3.8452 Å, b = 3.8452 Å, c = 13.2184 Å, α = 90.00°, β = 90.00° and γ = 120.00°. Symmetry generates all atoms from Zr at (0.0000, 0.0000, 0.1240), Zr at (0.3333, 0.6667, 0.3518), Sb at (0.0000, 0.0000, 0.5000), As at (0.6667, 0.3333, 0.2392) and P at (0.3333, 0.6667, 0.0000).

***

Q: What is the formula in the second record?
A: Zn2Re2AsP3